[1]
LiTl2: single point on PBEsol structure, meta-GGA SCAN.

POSCAR file:
```
LiTl2
1.0
-3.8676 -8.0376 -2.4836
5.2679 -6.8240 -3.3783
1.5059 -7.6165 5.0449
Tl Li
16 8
direct
0.5626 0.9374 0.5626
0.1250 0.1250 0.1250
0.3126 0.3126 0.6874
0.6874 0.3126 0.6874
0.6874 0.6874 0.3126
0.5626 0.9374 0.9374
0.3126 0.6874 0.3126
0.9374 0.9374 0.5626
0.3126 0.6874 0.6874
0.1250 0.6250 0.1250
0.9374 0.5626 0.9374
0.6250 0.1250 0.1250
0.6874 0.3126 0.3126
0.9374 0.5626 0.5626
0.1250 0.1250 0.6250
0.5626 0.5626 0.9374
0.9123 0.9123 0.2631
0.3377 0.3377 0.9869
0.3377 0.3377 0.3377
0.3377 0.9869 0.3377
0.9869 0.3377 0.3377
0.9123 0.2631 0.9123
0.9123 0.9123 0.9123
0.2631 0.9123 0.9123
```

The value obtained for the formation energy is -189 meV/atom.

---

[2]
ZnCu: single point on PBEsol structure, meta-GGA SCAN.

POSCAR file:
```
ZnCu
1.0
3.6124 0.0000 0.0000
0.0000 3.6124 0.0000
-1.8062 -1.8062 3.7717
Zn Cu
2 2
direct
0.7500 0.2500 0.5000
0.5000 0.5000 0.0000
0.0000 0.0000 0.0000
0.2500 0.7500 0.5000
```

The value obtained for the formation energy is -91 meV/atom.

---

Number 1: E_tot -1181.38 eV for the cell shown, D(E_F) 8.73 states/eV per cell. Number 2: E_tot -57.79 eV for the cell shown, D(E_F) 1.02 states/eV per cell.